No. 1
Li3Sn2Au7 after structural relaxation, computed with PBE-GGA.

a b c (Å): 4.089 3.808 15.703
angles (deg): 90.00 93.89 90.00
Fractional coordinates of all 12 atoms:
Li: 0.000 0.000 0.000
Li: 0.272 0.500 0.582
Li: 0.728 0.500 0.418
Sn: 0.079 0.000 0.272
Sn: 0.921 0.000 0.728
Au: 0.035 0.500 0.133
Au: 0.244 0.000 0.440
Au: 0.460 0.000 0.855
Au: 0.500 0.500 0.000
Au: 0.540 0.000 0.145
Au: 0.756 0.000 0.560
Au: 0.965 0.500 0.867

Values from the calculation:
**Crystal system**: monoclinic
**Energy of formation from the pure elements**: -0.260 eV per atom
**Space group**: P2/m (10)



No. 2
CsK2CeBr6 after structural relaxation, computed with PBE-GGA.

a b c (Å): 8.134 8.728 14.427
angles (deg): 90.00 123.67 90.00
Fractional coordinates of all 20 atoms:
Cs: 0.000 0.000 0.000
Cs: 0.000 0.500 0.500
K: 0.282 0.082 0.748
K: 0.282 0.418 0.248
K: 0.718 0.582 0.752
K: 0.718 0.918 0.252
Ce: 0.500 0.000 0.500
Ce: 0.500 0.500 0.000
Br: 0.131 0.075 0.285
Br: 0.131 0.425 0.785
Br: 0.290 0.670 0.076
Br: 0.290 0.830 0.576
Br: 0.441 0.221 0.092
Br: 0.441 0.279 0.592
Br: 0.559 0.721 0.408
Br: 0.559 0.779 0.908
Br: 0.710 0.170 0.424
Br: 0.710 0.330 0.924
Br: 0.869 0.575 0.215
Br: 0.869 0.925 0.715

Values from the calculation:
**Crystal system**: monoclinic
**ΔE_f (raw)**: -1.7991 eV per atom
**Space group**: P2_1/c (14)



No. 3
K2ZnCuH6 after structural relaxation, computed with PBE-GGA.

a b c (Å): 6.258 6.258 6.258
angles (deg): 134.19 134.19 66.79
Fractional coordinates of all 10 atoms:
K: 0.000 0.500 0.500
K: 0.500 0.000 0.500
Zn: 0.257 0.257 0.000
Cu: 0.753 0.753 0.000
H: 0.414 0.414 0.000
H: 0.475 0.475 0.522
H: 0.475 0.952 0.000
H: 0.913 0.913 0.000
H: 0.952 0.475 0.000
H: 0.952 0.952 0.478

Values from the calculation:
**Crystal system**: tetragonal
**DFT total energy**: -28.0 eV per cell
**Space group**: I4mm (107)



Number 1: volume 20.3 A^3/atom, spin magnetization 0.000 μB per atom. Number 2: volume 42.6 A^3/atom, spin magnetization 0.100 μB per atom. Number 3: volume 12.4 A^3/atom, spin magnetization 0.000 μB per atom.